[1]
Entry from Alexandria via LeMat-Bulk: a relaxed CuRe2TeAu crystal (PBE).

Unit cell a=4.632 b=4.829 c=4.632 alpha=90.00 beta=90.00 gamma=90.00
Element x y z (fractional)
Te (0.000, 0.500, 0.000)
Cu (0.000, 0.000, 0.000)
Au (0.500, 0.500, 0.500)
Re (0.500, 0.000, 0.000)
Re (0.000, 0.000, 0.500)

=====

[2]
Entry from Alexandria via LeMat-Bulk: a relaxed LiNbI2O crystal (PBE).

Unit cell a=5.868 b=5.868 c=3.956 alpha=90.00 beta=90.00 gamma=90.00
Element x y z (fractional)
Nb (0.000, 0.000, 0.000)
I (0.000, 0.500, 0.000)
O (0.000, 0.000, 0.500)
I (0.500, 0.000, 0.000)
Li (0.500, 0.500, 0.500)

Output
Energy relative to the lowest polymorph listed for this composition, eV/atom: 0.000

=====

[3]
Entry from Alexandria via LeMat-Bulk: a relaxed LaPm7Pr3 crystal (PBE).

Unit cell a=6.543 b=7.886 c=7.886 alpha=81.33 beta=85.88 gamma=85.88
Element x y z (fractional)
Pr (0.000, 0.826, 0.174)
Pm (0.740, 0.573, 0.921)
Pm (0.260, 0.427, 0.079)
La (0.500, 0.500, 0.500)
Pm (0.000, 0.500, 0.500)
Pm (0.210, 0.763, 0.763)
Pm (0.790, 0.237, 0.237)
Pr (0.500, 0.000, 0.000)
Pm (0.260, 0.079, 0.427)
Pm (0.740, 0.921, 0.573)
Pr (0.000, 0.174, 0.826)

Output
Energy relative to the lowest polymorph listed for this composition, eV/atom: 0.029

=====

[4]
Entry from Alexandria via LeMat-Bulk: a relaxed SiSeN2O crystal (PBE).

Unit cell a=3.808 b=3.808 c=3.797 alpha=90.00 beta=90.00 gamma=90.00
Element x y z (fractional)
Si (0.500, 0.500, 0.500)
N (0.500, 0.000, 0.000)
N (0.000, 0.500, 0.000)
Se (0.000, 0.000, 0.000)
O (0.000, 0.000, 0.500)

=====

| no. | E (eV/cell) |
| --- | --- |
| 1 | -25.65 |
| 2 | -24.59 |
| 3 | -50.35 |
| 4 | -24.10 |